LaCd9Ni2: relaxed, GGA-PBE.

Properties
Energy of formation from the pure elements in eV/atom: -0.11
V in A^3/atom: 21.0
Magnetic moment in Bohr magnetons per cell: 0.00

Lattice parameters (Å, degrees): 11.6346 11.6346 7.4632 90.00 90.00 90.00
Last column: nearest neighbours and their distance in Å.
Space group I4_1/amd (No. 141, origin choice 2)
Unique sites:
La 0.0000 0.2500 0.3750  18 Cd 3.55-3.82
Cd 0.0000 0.2500 0.8750  8 Cd 3.05, 4 Ni 3.05
Cd 0.1212 0.0523 0.6852  2 Ni 2.79-2.81, 7 Cd 2.82-3.11
Ni 0.0000 0.0000 0.0000  10 Cd 2.79-3.05